# Ca2LaSmS4 (PBE, relaxed)
# calculated volume	189.1	Å³ per cell
# mass density	4.37	g/cm3
# magnetic moment	0.000	Bohr magnetons per cell
# E_form (uncorrected)	-2081	meV per atom
# density of states at the Fermi level	3.589	states/eV/cell
# raw total energy	-5.85	eV/atom
data_Ca2LaSmS4
_chemical_formula_sum 'Ca2 La1 Sm1 S4'
_symmetry_space_group_name_H-M 'P 1 2/m 1'
_symmetry_Int_Tables_number 10
_cell_length_a 6.990
_cell_length_b 4.036
_cell_length_c 7.097
_cell_angle_alpha 90.00
_cell_angle_beta 109.14
_cell_angle_gamma 90.00
loop_
_symmetry_equiv_pos_as_xyz
'x,y,z'
'-x,-y,-z'
'-x,y,-z'
'x,-y,z'
loop_
_atom_site_label
_atom_site_fract_x
_atom_site_fract_y
_atom_site_fract_z
Ca1 0.000 0.000 0.000
Ca2 0.500 0.500 0.000
La1 0.000 0.500 0.500
Sm1 0.500 0.000 0.500
S1 0.253 0.500 0.245
S2 0.258 0.000 0.758

# SrCa2LaS (PBE, relaxed)
# calculated volume	186.7	Å³ per cell
# mass density	3.01	g/cm3
# magnetic moment	1.608	Bohr magnetons per cell
# E_form (uncorrected)	-644	meV per atom
# density of states at the Fermi level	6.275	states/eV/cell
# raw total energy	-3.59	eV/atom
data_SrCa2LaS
_chemical_formula_sum 'Sr1 Ca2 La1 S1'
_symmetry_space_group_name_H-M 'P 4/m m m'
_symmetry_Int_Tables_number 123
_symmetry_space_group_name_Hall '-P 4 2'
_cell_length_a 5.637
_cell_length_b 5.637
_cell_length_c 5.875
_cell_angle_alpha 90.00
_cell_angle_beta 90.00
_cell_angle_gamma 90.00
loop_
_atom_site_label
_atom_site_fract_x
_atom_site_fract_y
_atom_site_fract_z
Sr1 0.000 0.000 0.000
Ca1 0.000 0.500 0.500
La1 0.500 0.500 0.000
S1 0.500 0.500 0.500

# Sr2CaLaS (PBE, relaxed)
# calculated volume	202.5	Å³ per cell
# mass density	3.17	g/cm3
# magnetic moment	1.478	Bohr magnetons per cell
# E_form (uncorrected)	-670	meV per atom
# density of states at the Fermi level	6.612	states/eV/cell
# raw total energy	-3.55	eV/atom
data_Sr2CaLaS
_chemical_formula_sum 'Sr2 Ca1 La1 S1'
_symmetry_space_group_name_H-M 'P 4/m m m'
_symmetry_Int_Tables_number 123
_symmetry_space_group_name_Hall '-P 4 2'
_cell_length_a 5.931
_cell_length_b 5.931
_cell_length_c 5.757
_cell_angle_alpha 90.00
_cell_angle_beta 90.00
_cell_angle_gamma 90.00
loop_
_atom_site_label
_atom_site_fract_x
_atom_site_fract_y
_atom_site_fract_z
Sr1 0.000 0.500 0.000
Ca1 0.000 0.000 0.500
La1 0.500 0.500 0.500
S1 0.500 0.500 0.000

# Sr2CaLaS4 (PBE, relaxed)
# calculated volume	207.6	Å³ per cell
# mass density	3.86	g/cm3
# magnetic moment	0.000	Bohr magnetons per cell
# E_form (uncorrected)	-2113	meV per atom
# density of states at the Fermi level	3.106	states/eV/cell
# raw total energy	-5.46	eV/atom
data_Sr2CaLaS4
_chemical_formula_sum 'Sr2 Ca1 La1 S4'
_symmetry_space_group_name_H-M 'P 1 2/m 1'
_symmetry_Int_Tables_number 10
_cell_length_a 7.239
_cell_length_b 4.179
_cell_length_c 7.275
_cell_angle_alpha 90.00
_cell_angle_beta 109.39
_cell_angle_gamma 90.00
loop_
_symmetry_equiv_pos_as_xyz
'x,y,z'
'-x,-y,-z'
'-x,y,-z'
'x,-y,z'
loop_
_atom_site_label
_atom_site_fract_x
_atom_site_fract_y
_atom_site_fract_z
Sr1 0.000 0.000 0.000
Sr2 0.500 0.500 0.000
Ca1 0.000 0.500 0.500
La1 0.500 0.000 0.500
S1 0.244 0.000 0.738
S2 0.250 0.500 0.259

# SrCaLa2S4 (PBE, relaxed)
# calculated volume	203.2	Å³ per cell
# mass density	4.36	g/cm3
# magnetic moment	0.000	Bohr magnetons per cell
# E_form (uncorrected)	-2102	meV per atom
# density of states at the Fermi level	3.797	states/eV/cell
# raw total energy	-5.86	eV/atom
data_SrCaLa2S4
_chemical_formula_sum 'Sr1 Ca1 La2 S4'
_symmetry_space_group_name_H-M 'P 1 2/m 1'
_symmetry_Int_Tables_number 10
_cell_length_a 7.165
_cell_length_b 4.135
_cell_length_c 7.261
_cell_angle_alpha 90.00
_cell_angle_beta 109.17
_cell_angle_gamma 90.00
loop_
_symmetry_equiv_pos_as_xyz
'x,y,z'
'-x,-y,-z'
'-x,y,-z'
'x,-y,z'
loop_
_atom_site_label
_atom_site_fract_x
_atom_site_fract_y
_atom_site_fract_z
Sr1 0.000 0.000 0.000
Ca1 0.500 0.500 0.000
La1 0.000 0.500 0.500
La2 0.500 0.000 0.500
S1 0.256 0.500 0.250
S2 0.258 0.000 0.755

# Ca2LaTiS (PBE, relaxed)
# calculated volume	165.4	Å³ per cell
# mass density	3.00	g/cm3
# magnetic moment	2.127	Bohr magnetons per cell
# E_form (uncorrected)	462	meV per atom
# density of states at the Fermi level	5.549	states/eV/cell
# raw total energy	-3.73	eV/atom
data_Ca2LaTiS
_chemical_formula_sum 'Ca2 La1 Ti1 S1'
_symmetry_space_group_name_H-M 'P 4/m m m'
_symmetry_Int_Tables_number 123
_symmetry_space_group_name_Hall '-P 4 2'
_cell_length_a 5.625
_cell_length_b 5.625
_cell_length_c 5.229
_cell_angle_alpha 90.00
_cell_angle_beta 90.00
_cell_angle_gamma 90.00
loop_
_atom_site_label
_atom_site_fract_x
_atom_site_fract_y
_atom_site_fract_z
Ca1 0.000 0.500 0.000
La1 0.000 0.000 0.500
Ti1 0.000 0.000 0.000
S1 0.500 0.500 0.500

# CaLa2TlS (PBE, relaxed)
# calculated volume	162.6	Å³ per cell
# mass density	5.66	g/cm3
# magnetic moment	0.000	Bohr magnetons per cell
# E_form (uncorrected)	-901	meV per atom
# density of states at the Fermi level	2.891	states/eV/cell
# raw total energy	-4.57	eV/atom
data_CaLa2TlS
_chemical_formula_sum 'Ca1 La2 Tl1 S1'
_symmetry_space_group_name_H-M 'P 4/m m m'
_symmetry_Int_Tables_number 123
_symmetry_space_group_name_Hall '-P 4 2'
_cell_length_a 5.538
_cell_length_b 5.538
_cell_length_c 5.301
_cell_angle_alpha 90.00
_cell_angle_beta 90.00
_cell_angle_gamma 90.00
loop_
_atom_site_label
_atom_site_fract_x
_atom_site_fract_y
_atom_site_fract_z
Ca1 0.000 0.000 0.000
La1 0.000 0.500 0.500
Tl1 0.500 0.500 0.000
S1 0.000 0.000 0.500

# CaLa2TmS4 (PBE, relaxed)
# calculated volume	186.8	Å³ per cell
# mass density	5.47	g/cm3
# magnetic moment	0.000	Bohr magnetons per cell
# E_form (uncorrected)	-2079	meV per atom
# density of states at the Fermi level	3.731	states/eV/cell
# raw total energy	-6.18	eV/atom
data_CaLa2TmS4
_chemical_formula_sum 'Ca1 La2 Tm1 S4'
_symmetry_space_group_name_H-M 'P 1 2/m 1'
_symmetry_Int_Tables_number 10
_cell_length_a 6.959
_cell_length_b 4.004
_cell_length_c 7.087
_cell_angle_alpha 90.00
_cell_angle_beta 108.89
_cell_angle_gamma 90.00
loop_
_symmetry_equiv_pos_as_xyz
'x,y,z'
'-x,-y,-z'
'-x,y,-z'
'x,-y,z'
loop_
_atom_site_label
_atom_site_fract_x
_atom_site_fract_y
_atom_site_fract_z
Ca1 0.000 0.000 0.000
La1 0.000 0.500 0.500
La2 0.500 0.000 0.500
Tm1 0.500 0.500 0.000
S1 0.250 0.500 0.231
S2 0.263 0.000 0.773

# CaLaTm4S8 (PBE, relaxed)
# calculated volume	1120.6	Å³ per cell
# mass density	4.94	g/cm3
# magnetic moment	0.000	Bohr magnetons per cell
# E_form (uncorrected)	-1996	meV per atom
# density of states at the Fermi level	10.985	states/eV/cell
# raw total energy	-6.13	eV/atom
data_CaLaTm4S8
_chemical_formula_sum 'Ca3 La3 Tm12 S24'
_symmetry_space_group_name_H-M 'R 3 m'
_symmetry_Int_Tables_number 160
_symmetry_space_group_name_Hall 'R 3 -2"'
_cell_length_a 8.0116
_cell_length_b 8.0116
_cell_length_c 20.1597
_cell_angle_alpha 90.00
_cell_angle_beta 90.00
_cell_angle_gamma 120.00
loop_
_atom_site_label
_atom_site_fract_x
_atom_site_fract_y
_atom_site_fract_z
Ca1 0.0000 0.0000 0.0000
La1 0.0000 0.0000 0.6279
Tm1 0.0000 0.0000 0.2524
Tm2 0.1691 0.3382 0.4592
S1 0.0000 0.0000 0.3846
S2 0.0000 0.0000 0.8651
S3 0.0211 0.5106 0.3855
S4 0.1718 0.3437 0.2024

# Ca2LaTmS4 (PBE, relaxed)
# calculated volume	183.3	Å³ per cell
# mass density	4.68	g/cm3
# magnetic moment	0.000	Bohr magnetons per cell
# E_form (uncorrected)	-2052	meV per atom
# density of states at the Fermi level	3.680	states/eV/cell
# raw total energy	-5.79	eV/atom
data_Ca2LaTmS4
_chemical_formula_sum 'Ca2 La1 Tm1 S4'
_symmetry_space_group_name_H-M 'P 1 2/m 1'
_symmetry_Int_Tables_number 10
_cell_length_a 6.947
_cell_length_b 3.992
_cell_length_c 6.997
_cell_angle_alpha 90.00
_cell_angle_beta 109.13
_cell_angle_gamma 90.00
loop_
_symmetry_equiv_pos_as_xyz
'x,y,z'
'-x,-y,-z'
'-x,y,-z'
'x,-y,z'
loop_
_atom_site_label
_atom_site_fract_x
_atom_site_fract_y
_atom_site_fract_z
Ca1 0.000 0.000 0.000
Ca2 0.500 0.500 0.000
La1 0.000 0.500 0.500
Tm1 0.500 0.000 0.500
S1 0.264 0.500 0.255
S2 0.265 0.000 0.754

# CaLaTm2S4 (PBE, relaxed)
# calculated volume	176.5	Å³ per cell
# mass density	6.07	g/cm3
# magnetic moment	0.000	Bohr magnetons per cell
# E_form (uncorrected)	-2030	meV per atom
# density of states at the Fermi level	3.149	states/eV/cell
# raw total energy	-6.08	eV/atom
data_CaLaTm2S4
_chemical_formula_sum 'Ca1 La1 Tm2 S4'
_symmetry_space_group_name_H-M 'P 1 2/m 1'
_symmetry_Int_Tables_number 10
_cell_length_a 6.874
_cell_length_b 3.933
_cell_length_c 6.902
_cell_angle_alpha 90.00
_cell_angle_beta 108.99
_cell_angle_gamma 90.00
loop_
_symmetry_equiv_pos_as_xyz
'x,y,z'
'-x,-y,-z'
'-x,y,-z'
'x,-y,z'
loop_
_atom_site_label
_atom_site_fract_x
_atom_site_fract_y
_atom_site_fract_z
Ca1 0.000 0.000 0.000
La1 0.500 0.500 0.000
Tm1 0.000 0.500 0.500
Tm2 0.500 0.000 0.500
S1 0.236 0.000 0.730
S2 0.249 0.500 0.266

# Ca2LaUS6 (PBE, relaxed)
# calculated volume	810.9	Å³ per cell
# mass density	3.99	g/cm3
# magnetic moment	3.000	Bohr magnetons per cell
# E_form (uncorrected)	-1804	meV per atom
# raw total energy	-6.30	eV/atom
data_Ca2LaUS6
_chemical_formula_sum 'Ca6 La3 U3 S18'
_symmetry_space_group_name_H-M 'R 3'
_symmetry_Int_Tables_number 146
_symmetry_space_group_name_Hall 'R 3'
_cell_length_a 7.0721
_cell_length_b 7.0721
_cell_length_c 18.7212
_cell_angle_alpha 90.00
_cell_angle_beta 90.00
_cell_angle_gamma 120.00
loop_
_atom_site_label
_atom_site_fract_x
_atom_site_fract_y
_atom_site_fract_z
Ca1 0.0000 0.0000 0.0000
Ca2 0.0000 0.0000 0.4917
La1 0.0000 0.0000 0.2037
U1 0.0000 0.0000 0.6944
S1 0.0407 0.3380 0.7673
S2 0.0472 0.6673 0.2711